# PBE with a Hubbard U YSc2MoO8, optimized geometry
data_YSc2MoO8
_cell_length_a 6.870
_cell_length_b 6.904
_cell_length_c 6.568
_cell_angle_alpha 90.00
_cell_angle_beta 90.00
_cell_angle_gamma 90.00
_symmetry_space_group_name_H-M 'C m m m'
_symmetry_Int_Tables_number 65
_symmetry_space_group_name_Hall '-C 2 2'
loop_
_atom_site_label
_atom_site_fract_x
_atom_site_fract_y
_atom_site_fract_z
Y1 0.000 0.000 0.000
Sc1 0.000 0.500 0.250
Mo1 0.000 0.000 0.500
O1 0.000 0.193 0.286
O2 0.181 0.500 0.000
O3 0.213 0.500 0.500
# - calculated total energy (eV per cell) = -195.23